A plane-wave DFT calculation with PBE with a Hubbard U was carried out for RbCaVTePdF after structural relaxation. Values from VASP.

```
&SYSTEM
  ibrav = 0, nat = 6, ntyp = 6
/
ATOMIC_SPECIES
Ca 40.08 Ca.upf
Te 127.60 Te.upf
Pd 106.42 Pd.upf
V 50.94 V.upf
Rb 85.47 Rb.upf
F 19.00 F.upf
CELL_PARAMETERS angstrom
-2.380 3.105 0.257
-0.415 -2.453 -3.504
-5.397 -6.996 6.359
ATOMIC_POSITIONS crystal
Ca 0.598 0.377 0.086
Te 0.412 0.845 0.267
Pd 0.241 0.242 0.536
V 0.836 0.546 0.417
Rb 0.069 0.723 0.756
F 0.966 0.222 0.969
```

Values from the calculation:
Calculated density (Mg/m³): 4.5
Total moment (μB/cell): 3.0
Distance to the lowest polymorph of the same formula (meV/atom): 62.6
Total DFT energy (no corrections) (eV per atom): -4.3893